Zr2CoRh | meta-GGA SCAN | single point on PBEsol structure

abc: 4.5349 4.5349 3.1808
angles: 90.00 90.00 90.00
Space group P4/mmm (No. 123)
Symmetry-distinct sites (fractional):
Zr1 0.0000 0.5000 0.0000 (multiplicity 2)
Co1 0.0000 0.0000 0.5000 (multiplicity 1)
Rh1 0.5000 0.5000 0.5000 (multiplicity 1)

Offset from the most stable computed form   1 meV per atom
V   16.35 A^3/atom
Size of the total moment   1.499 μB per formula unit
Total DFT energy (no corrections)   -115.076 eV/cell
Crystal system   tetragonal
Calculated formation energy   -0.651 eV/atom